--- 1 ---
First-principles (PBEsol) data for an optimized crystal structure of RbBaIO2, as listed in Alexandria.

abc: 5.002 5.002 7.016
angles: 90.00 90.00 90.00
Fractional positions:
Rb1 0.000 0.000 0.000
Ba1 0.500 0.500 0.500
I1 0.500 0.500 0.000
O1 0.000 0.500 0.500
O2 0.500 0.000 0.500

* V: 35.10 Å³ per atom
* SG: P4/mmm (123)
* DOS at the Fermi energy: 0.790 states/eV per atom

---

--- 2 ---
First-principles (PBEsol) data for an optimized crystal structure of RbBaIO2, as listed in Alexandria.

abc: 4.959 4.959 6.273
angles: 90.00 90.00 90.00
Fractional positions:
Rb1 0.000 0.000 0.000
Ba1 0.500 0.500 0.500
I1 0.000 0.000 0.500
O1 0.000 0.500 0.000
O2 0.500 0.000 0.000

* V: 30.86 Å³ per atom
* SG: P4/mmm (123)
* DOS at the Fermi energy: 0.597 states/eV per atom

---

The winner here is 1, beating the second structure by 50.0 kJ/mol of atoms.

---

--- 1 ---
First-principles (PBEsol) data for an optimized crystal structure of BaSbTe2I, as listed in Alexandria.

abc: 5.795 5.795 5.800
angles: 90.00 90.00 90.00
Fractional positions:
Ba1 0.000 0.000 0.000
Sb1 0.500 0.500 0.500
Te1 0.000 0.500 0.500
Te2 0.500 0.000 0.500
I1 0.500 0.500 0.000

* V: 38.95 Å³ per atom
* SG: P4/mmm (123)
* DOS at the Fermi energy: 0.332 states/eV per atom

---

--- 2 ---
First-principles (PBEsol) data for an optimized crystal structure of BaSbTe2I, as listed in Alexandria.

abc: 6.533 6.533 6.316
angles: 90.00 90.00 90.00
Fractional positions:
Ba1 0.000 0.000 0.000
Sb1 0.500 0.500 0.500
Te1 0.000 0.500 0.000
Te2 0.500 0.000 0.000
I1 0.000 0.000 0.500

* V: 53.92 Å³ per atom
* SG: P4/mmm (123)
* DOS at the Fermi energy: 1.062 states/eV per atom

---

The winner here is 1, beating the second structure by 96.0 kJ/mol of atoms.